(1)
An optimized crystal structure of Ni2SeS, computed with PBE.

size of the total moment	0.00	μB per formula unit
energy	-20.003	eV/cell
crystal system	tetragonal

Cell lengths 3.158, 3.158, 6.419 Å; angles 90.00, 90.00, 90.00 degrees
Sites, in units of the cell vectors:
Ni  0.000  0.000  0.997
Ni  0.500  0.500  0.771
Se  0.000  0.000  0.614
S  0.500  0.500  0.118

---

(2)
An optimized crystal structure of Sc2NiHRu, computed with PBE.

size of the total moment	0.00	μB per formula unit
energy	-33.544	eV/cell
crystal system	tetragonal

Cell lengths 4.445, 4.445, 3.492 Å; angles 90.00, 90.00, 90.00 degrees
Sites, in units of the cell vectors:
Sc  0.000  0.500  0.000
Sc  0.500  0.000  0.000
Ru  0.000  0.000  0.500
H  0.000  0.000  0.000
Ni  0.500  0.500  0.500

---

(3)
An optimized crystal structure of LaDyRhBr, computed with PBE.

size of the total moment	0.00	μB per formula unit
energy	-23.041	eV/cell
crystal system	trigonal

Cell lengths 4.069, 4.069, 8.230 Å; angles 90.00, 104.31, 120.00 degrees
Sites, in units of the cell vectors:
La  0.509  0.152  0.677
Dy  0.100  0.948  0.063
Rh  0.309  0.552  0.877
Br  0.960  0.378  0.353

---

(4)
An optimized crystal structure of Ho3TmTh2Bi6, computed with PBE.

size of the total moment	0.00	μB per formula unit
energy	-65.150	eV/cell
crystal system	monoclinic

Cell lengths 4.513, 8.998, 10.066 Å; angles 102.83, 102.96, 90.00 degrees
Sites, in units of the cell vectors:
Ho  0.500  0.500  0.000
Ho  0.832  0.166  0.664
Ho  0.168  0.834  0.336
Tm  0.500  0.000  0.000
Th  0.835  0.669  0.671
Th  0.165  0.331  0.329
Bi  0.335  0.925  0.669
Bi  0.665  0.589  0.330
Bi  0.665  0.075  0.331
Bi  0.996  0.247  0.993
Bi  0.004  0.753  0.007
Bi  0.335  0.411  0.670

---

(5)
An optimized crystal structure of Tb6HgTe3, computed with PBE.

size of the total moment	0.00	μB per formula unit
energy	-91.315	eV/cell
crystal system	monoclinic

Cell lengths 4.036, 12.173, 12.822 Å; angles 104.23, 90.00, 90.00 degrees
Sites, in units of the cell vectors:
Tb  0.750  0.487  0.650
Tb  0.250  0.513  0.350
Tb  0.750  0.941  0.124
Tb  0.250  0.059  0.876
Tb  0.750  0.415  0.111
Tb  0.250  0.585  0.889
Tb  0.750  0.751  0.298
Tb  0.250  0.249  0.702
Tb  0.750  0.116  0.465
Tb  0.250  0.884  0.535
Tb  0.750  0.790  0.756
Tb  0.250  0.210  0.244
Hg  0.750  0.041  0.688
Hg  0.250  0.959  0.312
Te  0.750  0.390  0.861
Te  0.250  0.610  0.139
Te  0.750  0.670  0.511
Te  0.250  0.330  0.489
Te  0.750  0.159  0.054
Te  0.250  0.841  0.946

---

(6)
An optimized crystal structure of VBS2Cl, computed with PBE.

size of the total moment	0.07	μB per formula unit
energy	-22.400	eV/cell
crystal system	tetragonal

Cell lengths 4.220, 4.220, 4.118 Å; angles 90.00, 90.00, 90.00 degrees
Sites, in units of the cell vectors:
S  0.000  0.500  0.000
S  0.500  0.000  0.000
Cl  0.000  0.000  0.500
B  0.000  0.000  0.000
V  0.500  0.500  0.500

---

(7)
An optimized crystal structure of LaTa, computed with PBE.

size of the total moment	0.00	μB per formula unit
energy	-47.121	eV/cell
crystal system	orthorhombic

Cell lengths 9.206, 9.206, 5.307 Å; angles 90.00, 90.00, 160.77 degrees
Sites, in units of the cell vectors:
La  0.014  0.986  0.000
La  0.344  0.656  0.000
La  0.106  0.894  0.500
Ta  0.693  0.307  0.000
Ta  0.410  0.590  0.500
Ta  0.767  0.233  0.500

---

(8)
An optimized crystal structure of MnBe2As, computed with PBE.

size of the total moment	2.27	μB per formula unit
energy	-20.138	eV/cell
crystal system	tetragonal

Cell lengths 2.702, 2.702, 6.764 Å; angles 90.00, 90.00, 90.00 degrees
Each line ends with the local moment (μB).
Sites, in units of the cell vectors:
Be  0.000  0.000  0.054  -0.05
Be  0.000  0.000  0.446  -0.05
As  0.500  0.500  0.750  0.03
Mn  0.500  0.500  0.250  2.31